This record from Alexandria via LeMat-Bulk describes U3Tl4ZnTe8 after structural relaxation. The functional is PBE.

It has space group R-3m (No. 166, hexagonal axes), with a = 8.8530 Å, b = 8.8530 Å, c = 24.5150 Å, α = 90.00°, β = 90.00° and γ = 120.00°. The distinct sites, in fractional coordinates, are U at (0.0000, 0.5000, 0.0000), Tl at (0.0000, 0.0000, 0.5000), Tl at (0.0000, 0.5000, 0.5000), Zn at (0.0000, 0.0000, 0.0000), Te at (0.0000, 0.0000, 0.2609) and Te at (0.0101, 0.5051, 0.7351).

For the volume, the calculation gives 34.67 Å³ per atom. The value obtained for the spin magnetization is 7.9 μB/f.u. As for the density of states at the Fermi level: 21.719 states/eV/f.u. For the formation energy from raw total energies, the calculation gives -0.455 eV/atom.

---

This record from Alexandria via LeMat-Bulk describes ZrU3Tl3Te8 after structural relaxation. The functional is PBE.

It has space group R-3m (No. 166, hexagonal axes), with a = 8.5555 Å, b = 8.5555 Å, c = 25.4916 Å, α = 90.00°, β = 90.00° and γ = 120.00°. The distinct sites, in fractional coordinates, are Zr at (0.0000, 0.0000, 0.0000), U at (0.0000, 0.5000, 0.0000), Tl at (0.0000, 0.5000, 0.5000), Te at (0.0000, 0.0000, 0.2600) and Te at (0.0116, 0.5058, 0.7370).

For the volume, the calculation gives 35.91 Å³ per atom. The value obtained for the spin magnetization is 9.0 μB/f.u. As for the density of states at the Fermi level: 16.831 states/eV/f.u. For the formation energy from raw total energies, the calculation gives -0.597 eV/atom.

---

This record from Alexandria via LeMat-Bulk describes Zr2UTl3Te6 after structural relaxation. The functional is PBE.

It has space group C2/m (No. 12), with a = 7.253 Å, b = 12.579 Å, c = 8.815 Å, α = 90.00°, β = 105.99° and γ = 90.00°. The distinct sites, in fractional coordinates, are Zr at (0.000, 0.169, 0.000), U at (0.000, 0.500, 0.000), Tl at (0.000, 0.000, 0.500), Tl at (0.000, 0.341, 0.500), Te at (0.222, 0.000, 0.207) and Te at (0.245, 0.327, 0.213).

For the volume, the calculation gives 32.21 Å³ per atom. The value obtained for the spin magnetization is 4.0 μB/f.u. As for the density of states at the Fermi level: 8.185 states/eV/f.u. For the formation energy from raw total energies, the calculation gives -0.597 eV/atom.

---

This record from Alexandria via LeMat-Bulk describes TlVTe3 after structural relaxation. The functional is PBE.

It has space group Pm-3m (No. 221), with a = 5.356 Å, b = 5.356 Å, c = 5.356 Å, α = 90.00°, β = 90.00° and γ = 90.00°. The distinct sites, in fractional coordinates, are Tl at (0.000, 0.000, 0.000), V at (0.500, 0.500, 0.500) and Te at (0.000, 0.500, 0.500).

For the volume, the calculation gives 30.72 Å³ per atom. The value obtained for the spin magnetization is 1.1 μB/f.u. As for the density of states at the Fermi level: 5.459 states/eV/f.u. Its relative energy among the computed polymorphs is 0.1766 eV/atom. For the formation energy from raw total energies, the calculation gives -0.012 eV/atom.

---

This record from Alexandria via LeMat-Bulk describes Tl2VTe after structural relaxation. The functional is PBE.

It has space group Fm-3m (No. 225), with a = 7.607 Å, b = 7.607 Å, c = 7.607 Å, α = 90.00°, β = 90.00° and γ = 90.00°. The distinct sites, in fractional coordinates, are Tl at (0.250, 0.250, 0.250), V at (0.000, 0.000, 0.000) and Te at (0.000, 0.000, 0.500).

For the volume, the calculation gives 27.51 Å³ per atom. The value obtained for the spin magnetization is 4.1 μB/f.u. As for the density of states at the Fermi level: 4.015 states/eV/f.u. Its relative energy among the computed polymorphs is 0.2542 eV/atom. For the formation energy from raw total energies, the calculation gives 0.563 eV/atom.

---

This record from Alexandria via LeMat-Bulk describes TlV5Te8 after structural relaxation. The functional is PBE.

It has space group C2/m (No. 12), with a = 19.972 Å, b = 3.944 Å, c = 9.550 Å, α = 90.00°, β = 103.91° and γ = 90.00°. The distinct sites, in fractional coordinates, are Tl at (0.000, 0.000, 0.000), V at (0.000, 0.500, 0.500), V at (0.151, 0.000, 0.499), V at (0.210, 0.000, 0.842), Te at (0.069, 0.000, 0.683), Te at (0.088, 0.500, 0.319), Te at (0.161, 0.500, 0.992) and Te at (0.241, 0.500, 0.654).

For the volume, the calculation gives 26.08 Å³ per atom. The value obtained for the spin magnetization is 10.0 μB/f.u. As for the density of states at the Fermi level: 8.418 states/eV/f.u. For the formation energy from raw total energies, the calculation gives -0.308 eV/atom.

---

This record from Alexandria via LeMat-Bulk describes Tl2V3Te6 after structural relaxation. The functional is PBE.

It has space group C2/m (No. 12), with a = 6.835 Å, b = 11.654 Å, c = 8.573 Å, α = 90.00°, β = 106.82° and γ = 90.00°. The distinct sites, in fractional coordinates, are Tl at (0.000, 0.154, 0.000), V at (0.000, 0.000, 0.500), V at (0.000, 0.309, 0.500), Te at (0.219, 0.500, 0.671) and Te at (0.249, 0.161, 0.702).

For the volume, the calculation gives 29.71 Å³ per atom. The value obtained for the spin magnetization is 5.3 μB/f.u. As for the density of states at the Fermi level: 6.330 states/eV/f.u. For the formation energy from raw total energies, the calculation gives -0.295 eV/atom.

---

This record from Alexandria via LeMat-Bulk describes Tl2VTe3 after structural relaxation. The functional is PBE.

It has space group Cmcm (No. 63), with a = 12.173 Å, b = 9.212 Å, c = 7.439 Å, α = 90.00°, β = 90.00° and γ = 90.00°. The distinct sites, in fractional coordinates, are Tl at (0.161, 0.182, 0.250), V at (0.000, 0.409, 0.750), Te at (0.000, 0.139, 0.750) and Te at (0.146, 0.500, 0.000).

For the volume, the calculation gives 34.76 Å³ per atom. The value obtained for the spin magnetization is 1.0 μB/f.u. As for the density of states at the Fermi level: 0.897 states/eV/f.u. For the formation energy from raw total energies, the calculation gives -0.225 eV/atom.

---

This record from Alexandria via LeMat-Bulk describes Tl2VTe after structural relaxation. The functional is PBE.

It has space group I-42d (No. 122), with a = 4.287 Å, b = 4.287 Å, c = 24.096 Å, α = 90.00°, β = 90.00° and γ = 90.00°. The distinct sites, in fractional coordinates, are Tl at (0.250, 0.250, 0.125), V at (0.000, 0.000, 0.000) and Te at (0.000, 0.000, 0.500).

For the volume, the calculation gives 27.67 Å³ per atom. The value obtained for the spin magnetization is 3.3 μB/f.u. As for the density of states at the Fermi level: 3.698 states/eV/f.u. Its relative energy among the computed polymorphs is 0.0000 eV/atom. For the formation energy from raw total energies, the calculation gives 0.309 eV/atom.

---

This record from Alexandria via LeMat-Bulk describes TlVTe3 after structural relaxation. The functional is PBE.

It has space group P2_1/m (No. 11), with a = 8.733 Å, b = 4.143 Å, c = 8.940 Å, α = 90.00°, β = 104.66° and γ = 90.00°. The distinct sites, in fractional coordinates, are Tl at (0.130, 0.250, 0.305), V at (0.419, 0.250, 0.928), Te at (0.160, 0.250, 0.678), Te at (0.251, 0.750, 0.018) and Te at (0.484, 0.750, 0.749).

For the volume, the calculation gives 31.30 Å³ per atom. The value obtained for the spin magnetization is 0.0 μB/f.u. As for the density of states at the Fermi level: 3.497 states/eV/f.u. Its relative energy among the computed polymorphs is 0.0000 eV/atom. For the formation energy from raw total energies, the calculation gives -0.189 eV/atom.

---

This record from Alexandria via LeMat-Bulk describes TlV3Te6 after structural relaxation. The functional is PBE.

It has space group P2_1/m (No. 11), with a = 12.352 Å, b = 3.727 Å, c = 12.369 Å, α = 90.00°, β = 106.99° and γ = 90.00°. The distinct sites, in fractional coordinates, are Tl at (0.103, 0.250, 0.370), V at (0.162, 0.250, 0.037), V at (0.311, 0.750, 0.733), V at (0.481, 0.750, 0.334), Te at (0.045, 0.750, 0.126), Te at (0.151, 0.250, 0.650), Te at (0.244, 0.750, 0.930), Te at (0.317, 0.250, 0.249), Te at (0.378, 0.750, 0.537) and Te at (0.464, 0.250, 0.852).

For the volume, the calculation gives 27.23 Å³ per atom. The value obtained for the spin magnetization is 4.2 μB/f.u. As for the density of states at the Fermi level: 6.515 states/eV/f.u. For the formation energy from raw total energies, the calculation gives -0.253 eV/atom.

---

This record from Alexandria via LeMat-Bulk describes TlV2Te4 after structural relaxation. The functional is PBE.

It has space group C2/m (No. 12), with a = 17.324 Å, b = 3.822 Å, c = 6.618 Å, α = 90.00°, β = 106.62° and γ = 90.00°. The distinct sites, in fractional coordinates, are Tl at (0.000, 0.000, 0.000), V at (0.247, 0.500, 0.705), Te at (0.140, 0.000, 0.500) and Te at (0.166, 0.500, 0.017).

For the volume, the calculation gives 29.99 Å³ per atom. The value obtained for the spin magnetization is 3.3 μB/f.u. As for the density of states at the Fermi level: 5.875 states/eV/f.u. For the formation energy from raw total energies, the calculation gives -0.331 eV/atom.